(1)
! CoBTe3 (GGA-PBE, relaxed); values from VASP
&SYSTEM
  ibrav = 0, nat = 5, ntyp = 3
/
ATOMIC_SPECIES
Co 58.93 Co.upf
B 10.81 B.upf
Te 127.60 Te.upf
ATOMIC_POSITIONS angstrom
Co 0.0000 0.0000 0.0000
B 2.4020 2.4020 2.4020
Te 0.0000 2.4020 2.4020
Te 2.4020 0.0000 2.4020
Te 2.4020 2.4020 0.0000
CELL_PARAMETERS angstrom
4.8041 0.0000 0.0000
0.0000 4.8041 0.0000
0.0000 0.0000 4.8041
! M_tot = 0.452 μB/atom
! Formation energy (no corrections) = 1097 meV per atom
! Electronic total energy = -0.130 Ha/atom
! Volume = 22.175 Å³ per atom

---

(2)
! Pm4Dy2HoTm (GGA-PBE, relaxed); values from VASP
&SYSTEM
  ibrav = 0, nat = 8, ntyp = 4
/
ATOMIC_SPECIES
Pm 145.00 Pm.upf
Dy 162.50 Dy.upf
Ho 164.93 Ho.upf
Tm 168.93 Tm.upf
ATOMIC_POSITIONS angstrom
Pm 0.0000 0.0000 2.5033
Pm 0.0000 0.0000 7.5427
Pm 2.5418 2.5520 2.5063
Pm 2.5418 2.5520 7.5397
Dy 0.0000 2.5520 0.0000
Dy 2.5418 0.0000 5.0230
Ho 0.0000 2.5520 5.0230
Tm 2.5418 0.0000 0.0000
CELL_PARAMETERS angstrom
5.0835 0.0000 0.0000
0.0000 5.1039 0.0000
0.0000 0.0000 10.0461
! M_tot = 0.000 μB/atom
! Electronic total energy = -0.171 Ha/atom
! Volume = 32.582 Å³ per atom

---

(3)
! MgSc2C (GGA-PBE, relaxed); values from VASP
&SYSTEM
  ibrav = 0, nat = 4, ntyp = 3
/
ATOMIC_SPECIES
Mg 24.30 Mg.upf
Sc 44.96 Sc.upf
C 12.01 C.upf
ATOMIC_POSITIONS angstrom
Mg 0.0000 0.0000 0.0000
Sc 1.6008 1.6008 1.6008
Sc 4.8025 4.8025 4.8025
C 3.2017 3.2017 3.2017
CELL_PARAMETERS angstrom
0.0000 3.2017 3.2017
3.2017 0.0000 3.2017
3.2017 3.2017 0.0000
! M_tot = 0.000 μB/atom
! Electronic total energy = -0.189 Ha/atom
! Volume = 16.410 Å³ per atom

---

(4)
! NaLaMn (GGA-PBE, relaxed); values from VASP
&SYSTEM
  ibrav = 0, nat = 3, ntyp = 3
/
ATOMIC_SPECIES
Na 22.99 Na.upf
La 138.91 La.upf
Mn 54.94 Mn.upf
ATOMIC_POSITIONS angstrom
Na 0.0000 0.0000 0.0000
La 2.4444 2.8116 3.2468
Mn 0.0000 2.8116 1.6112
CELL_PARAMETERS angstrom
4.8889 0.0000 0.0000
0.0000 5.6232 0.0000
0.0000 0.0000 3.2815
! M_tot = 0.942 μB/atom
! Electronic total energy = -0.169 Ha/atom
! Volume = 30.070 Å³ per atom

---

(5)
! Y5Ga2Au2 (GGA-PBE, relaxed); values from VASP
&SYSTEM
  ibrav = 0, nat = 18, ntyp = 3
/
ATOMIC_SPECIES
Y 88.91 Y.upf
Ga 69.72 Ga.upf
Au 196.97 Au.upf
ATOMIC_POSITIONS angstrom
Y 0.0000 0.0000 0.0000
Y 5.7006 2.4424 5.1031
Y 5.7006 1.3609 1.3037
Y 10.0567 2.4424 5.1031
Y 10.0567 1.3609 1.3037
Y 7.8787 0.0000 3.7994
Y 5.7006 -1.3609 6.2950
Y 5.7006 -2.4424 2.4956
Y 10.0567 -1.3609 6.2950
Y 10.0567 -2.4424 2.4956
Ga 7.8787 2.8899 2.8875
Ga 7.8787 0.9134 6.6868
Ga 7.8787 -0.9134 0.9119
Ga 7.8787 -2.8899 4.7113
Au 3.2791 0.0000 0.0000
Au 4.5996 0.0000 3.7994
Au 11.1578 0.0000 3.7994
Au 12.4783 0.0000 0.0000
CELL_PARAMETERS angstrom
7.8787 -3.8033 0.0000
7.8787 3.8033 0.0000
0.0000 0.0000 7.5987
! M_tot = 0.000 μB/atom
! Electronic total energy = -0.209 Ha/atom
! Volume = 25.300 Å³ per atom

---

(6)
! SbOsF2 (GGA-PBE, relaxed); values from VASP
&SYSTEM
  ibrav = 0, nat = 4, ntyp = 3
/
ATOMIC_SPECIES
Sb 121.76 Sb.upf
Os 190.23 Os.upf
F 19.00 F.upf
ATOMIC_POSITIONS angstrom
Sb 0.0000 0.0000 0.0000
Os 3.1222 3.1222 3.1222
F 1.5611 1.5611 1.5611
F 4.6833 4.6833 4.6833
CELL_PARAMETERS angstrom
0.0000 3.1222 3.1222
3.1222 0.0000 3.1222
3.1222 3.1222 0.0000
! M_tot = 0.749 μB/atom
! Formation energy (no corrections) = 142 meV per atom
! Electronic total energy = -0.170 Ha/atom
! Volume = 15.218 Å³ per atom

---

(7)
! Pm2Si3PdPt12 (GGA-PBE, relaxed); values from VASP
&SYSTEM
  ibrav = 0, nat = 18, ntyp = 4
/
ATOMIC_SPECIES
Pm 145.00 Pm.upf
Si 28.09 Si.upf
Pd 106.42 Pd.upf
Pt 195.08 Pt.upf
ATOMIC_POSITIONS angstrom
Pm 0.0000 0.0000 2.0022
Pm 0.0000 0.0000 16.0439
Si -2.0651 -1.1923 6.0154
Si -2.0651 1.1923 12.0307
Si 0.0000 2.3846 6.0154
Pd 0.0000 0.0000 9.0230
Pt -2.1308 -1.2302 8.3316
Pt 0.0000 -2.1809 5.3779
Pt -1.8887 1.0905 5.3779
Pt 0.0000 -2.4605 9.7145
Pt -2.1309 1.2302 9.7145
Pt -1.8887 -1.0905 12.6682
Pt 1.8887 1.0905 5.3779
Pt 2.1308 -1.2302 8.3316
Pt 0.0000 2.4605 8.3316
Pt 1.8887 -1.0905 12.6682
Pt 0.0000 2.1809 12.6682
Pt 2.1308 1.2302 9.7145
CELL_PARAMETERS angstrom
4.1302 2.3846 6.0154
-4.1302 2.3846 6.0154
0.0000 -4.7692 6.0154
! M_tot = 0.000 μB/atom
! Formation energy (no corrections) = -420 meV per atom
! Electronic total energy = -0.227 Ha/atom
! Volume = 19.748 Å³ per atom

---

(8)
! SrTiP2 (GGA-PBE, relaxed); values from VASP
&SYSTEM
  ibrav = 0, nat = 8, ntyp = 3
/
ATOMIC_SPECIES
Sr 87.62 Sr.upf
Ti 47.87 Ti.upf
P 30.97 P.upf
ATOMIC_POSITIONS angstrom
Sr 0.0000 0.0000 0.0000
Sr 0.0000 3.4972 2.1017
Ti 3.4972 0.0000 2.1017
Ti 0.0000 0.0000 4.2035
P 1.7486 2.2657 -1.0509
P 4.7287 1.7486 1.0509
P 1.7486 1.2315 3.1526
P -1.2315 1.7486 5.2544
CELL_PARAMETERS angstrom
-3.4972 3.4972 4.2035
3.4972 -3.4972 4.2035
3.4972 3.4972 -4.2035
! M_tot = 0.000 μB/atom
! Electronic total energy = -0.217 Ha/atom
! Volume = 25.705 Å³ per atom

---

(9)
! CuPt5Rh (GGA-PBE, relaxed); values from VASP
&SYSTEM
  ibrav = 0, nat = 7, ntyp = 3
/
ATOMIC_SPECIES
Cu 63.55 Cu.upf
Pt 195.08 Pt.upf
Rh 102.91 Rh.upf
ATOMIC_POSITIONS angstrom
Cu 0.0000 0.0000 0.0000
Pt 0.0000 1.9214 2.0104
Pt 0.0000 1.9214 5.6349
Pt 1.9214 0.0000 2.0104
Pt 1.9214 0.0000 5.6349
Pt 1.9214 1.9214 0.0000
Rh 0.0000 0.0000 3.8227
CELL_PARAMETERS angstrom
3.8428 0.0000 0.0000
0.0000 3.8428 0.0000
0.0000 0.0000 7.6453
! M_tot = 0.000 μB/atom
! Electronic total energy = -0.216 Ha/atom
! Volume = 16.129 Å³ per atom

---

(10)
! ZnPH7C2N4O5 (GGA-PBE, relaxed); values from VASP
&SYSTEM
  ibrav = 0, nat = 80, ntyp = 6
/
ATOMIC_SPECIES
Zn 65.41 Zn.upf
P 30.97 P.upf
H 1.01 H.upf
C 12.01 C.upf
N 14.01 N.upf
O 16.00 O.upf
ATOMIC_POSITIONS angstrom
Zn -0.1155 1.0934 1.5281
Zn -0.5727 1.4677 6.8920
Zn 13.5764 3.6545 3.8359
Zn 13.1192 4.0288 9.1998
P 1.6280 3.7575 1.2404
P 1.1708 3.9258 6.6043
P 11.8329 1.1964 4.1235
P 11.3757 1.3647 9.4875
H 2.0657 1.0905 4.7330
H 1.6085 1.4706 10.0969
H 2.6834 0.1883 3.3232
H 2.2262 2.3728 8.6871
H 3.2901 2.8051 5.6267
H 3.7474 4.8782 0.2628
H 4.5893 3.3211 1.2657
H 4.1320 4.3622 6.6296
H 4.7732 0.6064 2.5113
H 4.3160 1.9547 7.8752
H 5.2615 0.6028 8.5540
H 5.7188 1.9583 3.1900
H 5.6738 0.0351 6.1843
H 6.1311 2.5260 0.8204
H 6.8726 2.5962 9.9075
H 7.3299 5.0871 4.5436
H 7.2849 3.1639 7.5378
H 7.7422 4.5194 2.1739
H 8.6877 3.1675 2.8526
H 8.2305 4.5158 8.2165
H 8.8717 0.7600 4.0982
H 8.4144 1.8011 9.4621
H 9.2563 0.2440 10.4650
H 9.7136 2.3171 5.1011
H 10.7775 2.7494 2.0408
H 10.3203 4.9339 7.4047
H 11.3953 3.6516 0.6309
H 10.9380 4.0317 5.9948
C 3.4456 0.9111 9.3860
C 3.9029 1.6500 4.0221
C 5.1188 3.5592 5.0226
C 4.6615 4.1241 10.3865
C 8.3422 0.9981 0.3413
C 7.8849 1.5630 5.7052
C 9.1008 3.4722 6.7057
C 9.5581 4.2111 1.3418
N 2.7985 0.9198 4.0418
N 2.3412 1.6413 9.4058
N 4.0575 2.6455 4.9409
N 3.6002 5.0378 10.3048
N 4.4120 1.1638 8.5023
N 4.8692 1.3973 3.1384
N 5.4474 3.2790 0.6936
N 4.9901 4.4043 6.0575
N 8.0136 0.7179 4.6703
N 7.5563 1.8432 10.0342
N 8.1345 3.7249 7.5894
N 8.5917 3.9584 2.2255
N 9.4035 0.0844 0.4230
N 8.9462 2.4767 5.7869
N 10.6625 3.4809 1.3221
N 10.2052 4.2024 6.6860
O 0.0450 3.2829 7.5324
O 0.5023 4.4004 2.1685
O 1.0000 3.2980 5.1915
O 0.5428 4.3853 10.5554
O 0.9768 0.3375 6.5562
O 1.4340 2.2236 1.1922
O 2.5530 3.5282 7.1509
O 3.0103 4.1551 1.7870
O 6.0763 3.5717 4.2111
O 5.6190 4.1116 9.5750
O 7.3847 1.0106 1.1528
O 6.9274 1.5505 6.5168
O 9.9934 0.9671 8.9408
O 10.4507 1.5940 3.5769
O 11.5697 2.8986 9.5356
O 12.0269 4.7847 4.1717
O 12.4609 0.7369 0.1724
O 12.0037 1.8242 5.5364
O 12.5014 0.7218 8.5594
O 12.9587 1.8393 3.1954
CELL_PARAMETERS angstrom
13.9182 0.0000 0.0000
0.0000 5.1222 0.0000
-0.9145 0.0000 10.7278
! M_tot = 0.000 μB/atom
! Electronic total energy = -0.230 Ha/atom
! Volume = 9.560 Å³ per atom

---

(11)
! Cd2In2I (GGA-PBE, relaxed); values from VASP
&SYSTEM
  ibrav = 0, nat = 10, ntyp = 3
/
ATOMIC_SPECIES
Cd 112.41 Cd.upf
In 114.82 In.upf
I 126.90 I.upf
ATOMIC_POSITIONS angstrom
Cd 1.0628 3.3088 0.0000
Cd 3.3088 7.6804 0.0000
Cd 5.4344 1.0628 0.0000
Cd 7.6804 5.4344 0.0000
In 1.5745 5.9461 1.9235
In 2.7971 1.5745 1.9235
In 5.9461 7.1687 1.9235
In 7.1687 2.7971 1.9235
I 0.0000 0.0000 0.0000
I 4.3716 4.3716 0.0000
CELL_PARAMETERS angstrom
8.7432 0.0000 0.0000
0.0000 8.7432 0.0000
0.0000 0.0000 3.8470
! M_tot = 0.000 μB/atom
! Formation energy (no corrections) = -12 meV per atom
! Electronic total energy = -0.066 Ha/atom
! Volume = 29.408 Å³ per atom

---

(12)
! Th2CrReN6 (GGA-PBE, relaxed); values from VASP
&SYSTEM
  ibrav = 0, nat = 10, ntyp = 4
/
ATOMIC_SPECIES
Th 232.04 Th.upf
Cr 52.00 Cr.upf
Re 186.21 Re.upf
N 14.01 N.upf
ATOMIC_POSITIONS angstrom
Th 0.0000 2.7472 0.0000
Th 2.7472 0.0000 0.0000
Cr 0.0000 0.0000 1.7739
Re 2.7472 2.7472 1.9188
N 0.0000 0.0000 3.8119
N 1.3552 1.3552 1.8433
N 1.3552 4.1391 1.8433
N 2.7472 2.7472 3.8428
N 4.1391 1.3552 1.8433
N 4.1391 4.1391 1.8433
CELL_PARAMETERS angstrom
5.4943 0.0000 0.0000
0.0000 5.4943 0.0000
0.0000 0.0000 3.9121
! M_tot = 0.060 μB/atom
! Formation energy (no corrections) = -838 meV per atom
! Electronic total energy = -0.350 Ha/atom
! Volume = 11.810 Å³ per atom

---

Among the records above, which one has the lowest electronic total energy?
Th2CrReN6